Record 1
Computed, not measured: a relaxed CrNCl3 crystal at the PBE-GGA level of DFT.

Results
offset from the most stable computed form	0.0	meV per atom
SG	No. 221

The structure in POSCAR format:
```
CrNCl3
1.0
-4.254 1.227 0.530
-1.325 -4.105 -1.132
0.176 -1.237 4.281
N Cr Cl
1 1 3
direct
0.000 0.000 0.000
0.500 0.500 0.500
0.000 0.500 0.000
0.500 0.000 0.000
0.000 0.000 0.500
```

---

Record 2
Computed, not measured: a relaxed CrPNCl2 crystal at the PBE-GGA level of DFT.

Results
offset from the most stable computed form	0.0	meV per atom
SG	No. 123

The structure in POSCAR format:
```
CrPNCl2
1.0
-3.761 1.525 -1.507
-1.272 -4.037 -0.912
-1.910 -0.387 4.375
N Cr P Cl
1 1 1 2
direct
0.500 0.500 0.500
0.000 0.000 0.000
0.000 0.000 0.500
0.000 0.500 0.000
0.500 0.000 0.000
```

---

Record 3
Computed, not measured: a relaxed CrPNCl2 crystal at the PBE-GGA level of DFT.

Results
offset from the most stable computed form	158.1	meV per atom
SG	No. 123

The structure in POSCAR format:
```
CrPNCl2
1.0
-2.656 -3.084 -0.674
1.299 -0.264 -3.907
3.114 -2.951 1.235
N Cr Cl P
1 1 2 1
direct
0.000 0.000 0.000
0.500 0.500 0.500
0.500 0.000 0.000
0.000 0.500 0.000
0.000 0.000 0.500
```

---

Record 4
Computed, not measured: a relaxed Rb2CrNCl6 crystal at the PBE-GGA level of DFT.

Results
SG	No. 139

The structure in POSCAR format:
```
Rb2CrNCl6
1.0
-1.747 -0.587 -7.516
-7.238 -2.028 1.841
-5.732 3.067 -2.891
Cl Rb N Cr
6 2 1 1
direct
0.722 0.722 0.556
0.213 0.213 0.000
0.213 0.787 0.000
0.278 0.278 0.444
0.787 0.213 0.000
0.787 0.787 0.000
0.250 0.750 0.500
0.750 0.250 0.500
0.500 0.500 0.000
0.000 0.000 0.000
```

---

no.,formation energy from raw total energies (eV per atom)
1,0.89
2,1.32
3,1.47
4,-0.67